(1)
{"formula": "Ba2BiPtCl", "functional": "GGA-PBEsol", "state": "optimized geometry", "cell": [[6.5938, 0.0000, 0.0000], [0.0000, 6.5938, 0.0000], [0.0000, 0.0000, 5.2486]], "species": ["Ba", "Ba", "Bi", "Pt", "Cl"], "fractional_positions": [[0.0000, 0.5000, 0.0000], [0.5000, 0.0000, 0.0000], [0.0000, 0.0000, 0.0000], [0.5000, 0.5000, 0.5000], [0.0000, 0.0000, 0.5000]], "magnetic_moment_mub_per_atom": 0.000, "rho_g_cm3": 5.2, "dos_ef_per_ev_fu": 1.3, "e_form_raw_mev_per_atom": -26}

(2)
{"formula": "Ba2CoGeBi", "functional": "GGA-PBEsol", "state": "optimized geometry", "cell": [[6.2838, 0.0000, 0.0000], [0.0000, 6.2838, 0.0000], [0.0000, 0.0000, 4.3470]], "species": ["Ba", "Ba", "Co", "Ge", "Bi"], "fractional_positions": [[0.0000, 0.5000, 0.0000], [0.5000, 0.0000, 0.0000], [0.0000, 0.0000, 0.5000], [0.0000, 0.0000, 0.0000], [0.5000, 0.5000, 0.5000]], "delta_e_f_ev_per_atom": -0.107, "magnetic_moment_mub_per_atom": 0.232, "rho_g_cm3": 6.0, "dos_ef_per_ev_fu": 4.2}

(3)
{"formula": "BaCrBi3", "functional": "GGA-PBEsol", "state": "optimized geometry", "cell": [[6.1597, 0.0000, 0.0000], [0.0000, 6.1597, 0.0000], [0.0000, 0.0000, 6.1597]], "species": ["Ba", "Cr", "Bi", "Bi", "Bi"], "fractional_positions": [[0.0000, 0.0000, 0.0000], [0.5000, 0.5000, 0.5000], [0.0000, 0.0000, 0.5000], [0.0000, 0.5000, 0.0000], [0.5000, 0.0000, 0.0000]], "delta_e_f_ev_per_atom": 1.405, "magnetic_moment_mub_per_atom": 0.925, "rho_g_cm3": 5.8, "dos_ef_per_ev_fu": 6.0}

(4)
{"formula": "BaCr3Bi", "functional": "GGA-PBEsol", "state": "optimized geometry", "cell": [[5.0547, 0.0000, 0.0000], [0.0000, 5.0547, 0.0000], [0.0000, 0.0000, 5.0547]], "species": ["Ba", "Cr", "Cr", "Cr", "Bi"], "fractional_positions": [[0.0000, 0.0000, 0.0000], [0.0000, 0.0000, 0.5000], [0.0000, 0.5000, 0.0000], [0.5000, 0.0000, 0.0000], [0.5000, 0.5000, 0.5000]], "delta_e_f_ev_per_atom": 2.263, "magnetic_moment_mub_per_atom": 2.191, "rho_g_cm3": 6.5, "dos_ef_per_ev_fu": 4.9}